one) VASP calculation (SCAN) on a PBEsol-optimized structure of KMo2Se.

Computed properties:
magnetic moment	0.00	μB per atom
density	6.76	g/cm³

Lattice parameters (Å, degrees): 2.9720 2.9720 29.8637 90.00 90.00 120.00
Element x y z (fractional)
1 K 0.0000 0.0000 0.0000
2 K 0.3333 0.6667 0.6667
3 K 0.6667 0.3333 0.3333
4 Mo 0.0000 0.0000 0.2310
5 Mo 0.0000 0.0000 0.7690
6 Mo 0.3333 0.6667 0.4357
7 Mo 0.3333 0.6667 0.8977
8 Mo 0.6667 0.3333 0.1023
9 Mo 0.6667 0.3333 0.5643
10 Se 0.0000 0.0000 0.5000
11 Se 0.3333 0.6667 0.1667
12 Se 0.6667 0.3333 0.8333

***

two) VASP calculation (SCAN) on a PBEsol-optimized structure of KMo2Se.

Computed properties:
magnetic moment	0.00	μB per atom
density	7.42	g/cm³

Lattice parameters (Å, degrees): 6.5220 6.5220 6.5220 90.00 90.00 90.00
Element x y z (fractional)
1 K 0.0000 0.0000 0.0000
2 K 0.0000 0.5000 0.5000
3 K 0.5000 0.0000 0.5000
4 K 0.5000 0.5000 0.0000
5 Mo 0.0000 0.0000 0.5000
6 Mo 0.0000 0.5000 0.0000
7 Mo 0.2500 0.2500 0.7500
8 Mo 0.2500 0.7500 0.2500
9 Mo 0.5000 0.0000 0.0000
10 Mo 0.5000 0.5000 0.5000
11 Mo 0.7500 0.2500 0.2500
12 Mo 0.7500 0.7500 0.7500
13 Se 0.2500 0.2500 0.2500
14 Se 0.2500 0.7500 0.7500
15 Se 0.7500 0.2500 0.7500
16 Se 0.7500 0.7500 0.2500

***

three) VASP calculation (SCAN) on a PBEsol-optimized structure of KMo2Se.

Computed properties:
magnetic moment	0.30	μB per atom
density	6.92	g/cm³

Lattice parameters (Å, degrees): 3.8780 3.8780 4.9459 90.00 90.00 90.00
Element x y z (fractional)
1 K 0.0000 0.0000 0.0000
2 Mo 0.0000 0.5000 0.5000
3 Mo 0.5000 0.0000 0.5000
4 Se 0.5000 0.5000 0.0000

***

four) VASP calculation (SCAN) on a PBEsol-optimized structure of KMo2Se.

Computed properties:
magnetic moment	0.00	μB per atom
density	5.93	g/cm³

Lattice parameters (Å, degrees): 3.1727 3.1727 8.6271 90.00 90.00 90.00
Element x y z (fractional)
1 K 0.0000 0.0000 0.0000
2 Mo 0.5000 0.5000 0.3517
3 Mo 0.5000 0.5000 0.6483
4 Se 0.0000 0.0000 0.5000

***

Quick one: least stable of them? three)

***

one) VASP calculation (SCAN) on a PBEsol-optimized structure of KSiMo.

Computed properties:
magnetic moment	1.01	μB per atom
density	3.53	g/cm³

Lattice parameters (Å, degrees): 6.7464 6.7464 6.7464 90.00 90.00 90.00
Element x y z (fractional)
1 K 0.0000 0.0000 0.0000
2 K 0.0000 0.5000 0.5000
3 K 0.5000 0.0000 0.5000
4 K 0.5000 0.5000 0.0000
5 Si 0.2500 0.2500 0.2500
6 Si 0.2500 0.7500 0.7500
7 Si 0.7500 0.2500 0.7500
8 Si 0.7500 0.7500 0.2500
9 Mo 0.2500 0.2500 0.7500
10 Mo 0.2500 0.7500 0.2500
11 Mo 0.7500 0.2500 0.2500
12 Mo 0.7500 0.7500 0.7500

***

two) VASP calculation (SCAN) on a PBEsol-optimized structure of KSiMo.

Computed properties:
magnetic moment	0.41	μB per atom
density	3.75	g/cm³

Lattice parameters (Å, degrees): 3.3951 3.3951 12.5429 90.00 90.00 90.00
Element x y z (fractional)
1 K 0.0000 0.0000 0.0000
2 K 0.5000 0.5000 0.5000
3 Si 0.0000 0.0000 0.2550
4 Si 0.5000 0.5000 0.7550
5 Mo 0.0000 0.0000 0.7365
6 Mo 0.5000 0.5000 0.2365

***

Quick one: least stable of them? one)

***

one) VASP calculation (SCAN) on a PBEsol-optimized structure of K2SrMo.

Computed properties:
magnetic moment	1.20	μB per atom
density	2.58	g/cm³

Lattice parameters (Å, degrees): 8.7669 8.7669 8.7669 90.00 90.00 90.00
Element x y z (fractional)
1 K 0.2500 0.2500 0.2500
2 K 0.2500 0.2500 0.7500
3 K 0.2500 0.7500 0.2500
4 K 0.2500 0.7500 0.7500
5 K 0.7500 0.2500 0.2500
6 K 0.7500 0.2500 0.7500
7 K 0.7500 0.7500 0.2500
8 K 0.7500 0.7500 0.7500
9 Sr 0.0000 0.0000 0.0000
10 Sr 0.0000 0.5000 0.5000
11 Sr 0.5000 0.0000 0.5000
12 Sr 0.5000 0.5000 0.0000
13 Mo 0.0000 0.0000 0.5000
14 Mo 0.0000 0.5000 0.0000
15 Mo 0.5000 0.0000 0.0000
16 Mo 0.5000 0.5000 0.5000

***

two) VASP calculation (SCAN) on a PBEsol-optimized structure of K2SrMo.

Computed properties:
magnetic moment	1.18	μB per atom
density	2.66	g/cm³

Lattice parameters (Å, degrees): 8.6735 8.6735 8.6735 90.00 90.00 90.00
Element x y z (fractional)
1 K 0.0000 0.0000 0.0000
2 K 0.0000 0.5000 0.5000
3 K 0.2500 0.2500 0.2500
4 K 0.2500 0.7500 0.7500
5 K 0.5000 0.0000 0.5000
6 K 0.5000 0.5000 0.0000
7 K 0.7500 0.2500 0.7500
8 K 0.7500 0.7500 0.2500
9 Sr 0.0000 0.0000 0.5000
10 Sr 0.0000 0.5000 0.0000
11 Sr 0.5000 0.0000 0.0000
12 Sr 0.5000 0.5000 0.5000
13 Mo 0.2500 0.2500 0.7500
14 Mo 0.2500 0.7500 0.2500
15 Mo 0.7500 0.2500 0.2500
16 Mo 0.7500 0.7500 0.7500

***

Quick one: least stable of them? one)